# 1
DFT (PBE-GGA) results for a relaxed structure of CsBaNb.

Properties
Raw total energy (eV/atom): -3.5538
Size of the total moment (Bohr magnetons per cell): 2.92
ΔE_f (kJ per mole of atoms): 70
Distance to the lowest polymorph of the same formula (meV per atom): 284
Crystal system: triclinic

```
12
Lattice="4.3293 0.0000 0.0000 -2.1302 12.8325 0.0000 -0.0068 -6.1173 11.8772" Properties=species:S:1:pos:R:3 pbc="T T T"
Cs 0.0000 0.0000 0.0000
Cs -0.0310 -1.7936 3.8455
Cs -0.0327 1.6736 11.5727
Cs 2.1477 4.6177 7.9725
Ba 2.1319 -3.8638 7.6150
Ba 2.1342 -2.3031 11.6394
Ba 2.1331 0.4386 7.0759
Ba 2.1363 5.4274 3.8809
Nb -0.0323 -1.5352 9.0241
Nb -0.0277 2.9769 2.5312
Nb -0.0288 2.7237 4.9439
Nb 2.1362 1.7556 3.5933
```

# 2
DFT (PBE-GGA) results for a relaxed structure of CsBaNb2.

Properties
Raw total energy (eV/atom): -3.7184
Size of the total moment (Bohr magnetons per cell): 0.00
ΔE_f (kJ per mole of atoms): 194
Crystal system: cubic

```
16
Lattice="7.6079 0.0000 0.0000 0.0000 7.6079 0.0000 0.0000 0.0000 7.6079" Properties=species:S:1:pos:R:3 pbc="T T T"
Cs 0.0000 0.0000 0.0000
Cs 0.0000 3.8039 3.8039
Cs 3.8039 0.0000 3.8039
Cs 3.8039 3.8039 0.0000
Ba 0.0000 0.0000 3.8039
Ba 0.0000 3.8039 0.0000
Ba 3.8039 0.0000 0.0000
Ba 3.8039 3.8039 3.8039
Nb 1.9020 1.9020 1.9020
Nb 1.9020 1.9020 5.7059
Nb 1.9020 5.7059 1.9020
Nb 1.9020 5.7059 5.7059
Nb 5.7059 1.9020 1.9020
Nb 5.7059 1.9020 5.7059
Nb 5.7059 5.7059 1.9020
Nb 5.7059 5.7059 5.7059
```

# 3
DFT (PBE-GGA) results for a relaxed structure of CsBaNb.

Properties
Raw total energy (eV/atom): -3.7749
Size of the total moment (Bohr magnetons per cell): 0.00
ΔE_f (kJ per mole of atoms): 49
Distance to the lowest polymorph of the same formula (meV per atom): 63
Crystal system: triclinic

```
6
Lattice="4.6035 0.0000 0.0000 -2.0893 4.1022 0.0000 -2.1984 -1.4139 18.1158" Properties=species:S:1:pos:R:3 pbc="T T T"
Cs 0.0000 0.0000 0.0000
Cs -0.0938 0.0399 13.5409
Ba 0.4756 2.5226 4.4197
Ba 0.4767 2.5253 9.1196
Nb 0.2773 -0.1752 6.7696
Nb 2.7682 1.1186 6.7694
```

# 4
DFT (PBE-GGA) results for a relaxed structure of CsBaNb.

Properties
Raw total energy (eV/atom): -3.4747
Size of the total moment (Bohr magnetons per cell): 0.00
ΔE_f (kJ per mole of atoms): 78
Distance to the lowest polymorph of the same formula (meV per atom): 363
Crystal system: orthorhombic

```
12
Lattice="4.5876 0.0000 0.0000 0.0000 7.5100 0.0000 0.0000 0.0000 17.7164" Properties=species:S:1:pos:R:3 pbc="T T T"
Cs 1.1010 1.8775 2.8134
Cs 1.1928 5.6325 11.6716
Cs 3.3948 1.8775 6.0448
Cs 3.4866 5.6325 14.9030
Ba 1.1191 1.8775 10.1966
Ba 1.1747 5.6325 1.3384
Ba 3.4129 1.8775 16.3780
Ba 3.4685 5.6325 7.5198
Nb 1.1223 1.8775 13.7069
Nb 1.1715 5.6325 4.8487
Nb 3.4161 1.8775 12.8677
Nb 3.4654 5.6325 4.0095
```

# 5
DFT (PBE-GGA) results for a relaxed structure of CsBaNb.

Properties
Raw total energy (eV/atom): -2.8562
Size of the total moment (Bohr magnetons per cell): 23.92
ΔE_f (kJ per mole of atoms): 138
Distance to the lowest polymorph of the same formula (meV per atom): 982
Crystal system: cubic

```
12
Lattice="8.8243 0.0000 0.0000 0.0000 8.8243 0.0000 0.0000 0.0000 8.8243" Properties=species:S:1:pos:R:3 pbc="T T T"
Cs 0.0000 0.0000 0.0000
Cs 0.0000 4.4121 4.4121
Cs 4.4121 0.0000 4.4121
Cs 4.4121 4.4121 0.0000
Ba 0.0000 0.0000 4.4121
Ba 0.0000 4.4121 0.0000
Ba 4.4121 0.0000 0.0000
Ba 4.4121 4.4121 4.4121
Nb 2.2061 2.2061 6.6182
Nb 2.2061 6.6182 2.2061
Nb 6.6182 2.2061 2.2061
Nb 6.6182 6.6182 6.6182
```

# 6
DFT (PBE-GGA) results for a relaxed structure of CsBaNb.

Properties
Raw total energy (eV/atom): -3.8380
Size of the total moment (Bohr magnetons per cell): 0.00
ΔE_f (kJ per mole of atoms): 43
Distance to the lowest polymorph of the same formula (meV per atom): 0
Crystal system: triclinic

```
12
Lattice="4.6043 0.0000 0.0000 2.2771 12.1944 0.0000 2.2154 1.1159 12.7990" Properties=species:S:1:pos:R:3 pbc="T T T"
Cs 0.0000 0.0000 0.0000
Cs 2.1737 7.9097 2.6438
Cs 4.4713 5.4047 11.5062
Cs 4.4815 3.5161 3.5441
Ba 4.4839 11.5368 4.7889
Ba 4.5085 1.2208 8.1796
Ba 6.7845 9.7048 10.7058
Ba 6.7851 5.6883 7.1779
Nb 4.4827 10.5936 8.0085
Nb 4.4833 8.1118 8.5003
Nb 4.4819 8.3654 6.0481
Nb 6.7845 9.4178 7.1031
```

# 7
DFT (PBE-GGA) results for a relaxed structure of CsBaNb.

Properties
Raw total energy (eV/atom): -3.7747
Size of the total moment (Bohr magnetons per cell): 0.00
ΔE_f (kJ per mole of atoms): 49
Distance to the lowest polymorph of the same formula (meV per atom): 63
Crystal system: triclinic

```
6
Lattice="4.6003 0.0000 0.0000 2.1002 4.1029 0.0000 0.6441 0.6129 18.1217" Properties=species:S:1:pos:R:3 pbc="T T T"
Cs 1.1575 0.8102 2.2899
Cs 6.1872 3.9056 15.8318
Ba 3.6721 2.3562 11.4101
Ba 3.6726 2.3596 6.7116
Nb 1.3800 0.9504 9.0604
Nb 5.9647 3.7654 9.0613
```

# 8
DFT (PBE-GGA) results for a relaxed structure of CsBaNb.

Properties
Raw total energy (eV/atom): -2.8993
Size of the total moment (Bohr magnetons per cell): 8.70
ΔE_f (kJ per mole of atoms): 133
Distance to the lowest polymorph of the same formula (meV per atom): 939
Crystal system: hexagonal

```
6
Lattice="6.1852 0.0000 0.0000 -3.0926 5.3565 0.0000 0.0000 0.0000 7.2435" Properties=species:S:1:pos:R:3 pbc="T T T"
Cs 0.0000 0.0000 0.0000
Cs 0.0000 0.0000 3.6217
Ba 0.0000 3.5710 1.8109
Ba 3.0926 1.7855 5.4326
Nb 0.0000 3.5710 5.4326
Nb 3.0926 1.7855 1.8109
```

# 9
DFT (PBE-GGA) results for a relaxed structure of CsBaNb.

Properties
Raw total energy (eV/atom): -3.8301
Size of the total moment (Bohr magnetons per cell): 0.00
ΔE_f (kJ per mole of atoms): 44
Distance to the lowest polymorph of the same formula (meV per atom): 8
Crystal system: triclinic

```
12
Lattice="4.6030 0.0000 0.0000 2.2893 12.7783 0.0000 2.2888 4.9123 12.3418" Properties=species:S:1:pos:R:3 pbc="T T T"
Cs 0.0000 0.0000 0.0000
Cs 2.2484 7.6730 4.8688
Cs 4.5597 8.2727 0.6001
Cs 6.8308 9.4483 9.2577
Ba 4.5413 13.8343 8.6881
Ba 2.2474 4.0203 1.6511
Ba 4.5371 12.2140 4.6243
Ba 4.5572 4.7423 7.8495
Nb 2.2511 3.0371 5.2054
Nb 4.5515 4.3349 4.4622
Nb 6.8420 14.6361 6.0958
Nb 4.5423 2.0247 3.5741
```

# 10
DFT (PBE-GGA) results for a relaxed structure of CsBa3Nb.

Properties
Raw total energy (eV/atom): -2.6485
Size of the total moment (Bohr magnetons per cell): 0.00
ΔE_f (kJ per mole of atoms): 67
Crystal system: cubic

```
5
Lattice="6.4804 0.0000 0.0000 0.0000 6.4804 0.0000 0.0000 0.0000 6.4804" Properties=species:S:1:pos:R:3 pbc="T T T"
Cs 0.0000 0.0000 0.0000
Ba 0.0000 3.2402 3.2402
Ba 3.2402 0.0000 3.2402
Ba 3.2402 3.2402 0.0000
Nb 3.2402 3.2402 3.2402
```

# 11
DFT (PBE-GGA) results for a relaxed structure of CsBaNb.

Properties
Raw total energy (eV/atom): -3.4560
Size of the total moment (Bohr magnetons per cell): 0.00
ΔE_f (kJ per mole of atoms): 80
Distance to the lowest polymorph of the same formula (meV per atom): 382
Crystal system: triclinic

```
6
Lattice="3.6405 0.0000 0.0000 -0.6160 7.1060 0.0000 -1.0780 -2.1307 10.7233" Properties=species:S:1:pos:R:3 pbc="T T T"
Cs 0.0000 0.0000 0.0000
Cs -0.3547 -0.0317 4.5425
Ba 2.4070 3.4660 6.9848
Ba 3.0599 3.5575 1.9248
Nb 0.0939 1.3903 9.4928
Nb 1.3173 0.1747 8.0466
```

# 12
DFT (PBE-GGA) results for a relaxed structure of CsBaNb.

Properties
Raw total energy (eV/atom): -2.8980
Size of the total moment (Bohr magnetons per cell): 3.48
ΔE_f (kJ per mole of atoms): 134
Distance to the lowest polymorph of the same formula (meV per atom): 940
Crystal system: hexagonal

```
3
Lattice="6.3839 0.0000 0.0000 -3.1920 5.5286 0.0000 0.0000 0.0000 3.5893" Properties=species:S:1:pos:R:3 pbc="T T T"
Cs 0.0000 0.0000 0.0000
Ba 0.0000 3.6858 1.7946
Nb 3.1920 1.8429 1.7946
```

# 13
DFT (PBE-GGA) results for a relaxed structure of CsBaNb.

Properties
Raw total energy (eV/atom): -3.6588
Size of the total moment (Bohr magnetons per cell): 0.00
ΔE_f (kJ per mole of atoms): 60
Distance to the lowest polymorph of the same formula (meV per atom): 179
Crystal system: orthorhombic

```
12
Lattice="4.2597 0.0000 0.0000 0.0000 5.2907 0.0000 0.0000 0.0000 29.5235" Properties=species:S:1:pos:R:3 pbc="T T T"
Cs 1.0141 1.3227 2.1567
Cs 1.1158 3.9680 16.9185
Cs 3.1439 1.3227 12.6051
Cs 3.2456 3.9680 27.3669
Ba 1.0221 3.9680 9.1647
Ba 1.1077 1.3227 23.9265
Ba 3.1520 3.9680 5.5971
Ba 3.2376 1.3227 20.3588
Nb 1.0227 1.3227 6.6715
Nb 1.1072 3.9680 21.4333
Nb 3.1525 1.3227 8.0903
Nb 3.2370 3.9680 22.8521
```

# 14
DFT (PBE-GGA) results for a relaxed structure of CsBaNb.

Properties
Raw total energy (eV/atom): -2.2272
Size of the total moment (Bohr magnetons per cell): 7.80
ΔE_f (kJ per mole of atoms): 198
Distance to the lowest polymorph of the same formula (meV per atom): 1611
Crystal system: hexagonal

```
6
Lattice="7.3044 0.0000 0.0000 -3.6522 6.3258 0.0000 0.0000 0.0000 11.5386" Properties=species:S:1:pos:R:3 pbc="T T T"
Cs 0.0000 4.2172 2.8847
Cs 3.6522 2.1086 8.6540
Ba 0.0000 0.0000 2.8847
Ba 0.0000 0.0000 8.6540
Nb 0.0000 0.0000 0.0000
Nb 0.0000 0.0000 5.7693
```